No. 1
DFT (PBEsol) results for SrAs2Br after structural relaxation.

Cell: 4.0344 4.0344 6.1705 Å, 90.00 90.00 90.00°
Space group P4/mmm (No. 123)
Inequivalent atoms, fractional coordinates:
Sr 0.0000 0.0000 0.0000 [1 per cell]
As 0.0000 0.5000 0.5000 [2 per cell]
Br 0.5000 0.5000 0.0000 [1 per cell]

Energy above the most stable polymorph in this dataset ... 0 meV per atom
Formation energy from raw total energies ... -266 kJ/mol of formula units
Total DFT energy (no corrections) ... -4.171 eV per atom

---

No. 2
DFT (PBEsol) results for YZrBe3 after structural relaxation.

Cell: 4.5672 4.5672 4.5672 Å, 90.00 90.00 90.00°
Space group Pm-3m (No. 221)
Inequivalent atoms, fractional coordinates:
Y 0.0000 0.0000 0.0000 [1 per cell]
Zr 0.5000 0.5000 0.5000 [1 per cell]
Be 0.0000 0.5000 0.5000 [3 per cell]

Formation energy from the elements ... 1.00 eV per atom
Total DFT energy (no corrections) ... -4.584 eV per atom

---

No. 3
DFT (PBEsol) results for SrAlIn3 after structural relaxation.

Cell: 5.3062 5.3062 5.3062 Å, 90.00 90.00 90.00°
Space group Pm-3m (No. 221)
Inequivalent atoms, fractional coordinates:
Sr 0.0000 0.0000 0.0000 [1 per cell]
Al 0.5000 0.5000 0.5000 [1 per cell]
In 0.0000 0.5000 0.5000 [3 per cell]

Energy above the most stable polymorph in this dataset ... 0 meV per atom
Formation energy from the elements ... 0.03 eV per atom
Total DFT energy (no corrections) ... -2.950 eV per atom